Material: RbErAgSe3
Method: DFT, PBE
State: optimized geometry

Unit cell a=8.0940 b=8.0940 c=10.7044 alpha=90.00 beta=90.00 gamma=150.71
Fractional positions:
Rb (0.2488, 0.7512, 0.7500)
Rb (0.7512, 0.2488, 0.2500)
Er (0.0000, 0.0000, 0.0000)
Er (0.0000, 0.0000, 0.5000)
Ag (0.4642, 0.5358, 0.2500)
Ag (0.5358, 0.4642, 0.7500)
Se (0.0711, 0.9289, 0.2500)
Se (0.3755, 0.6245, 0.0445)
Se (0.3755, 0.6245, 0.4555)
Se (0.6245, 0.3755, 0.5445)
Se (0.6245, 0.3755, 0.9555)
Se (0.9289, 0.0711, 0.7500)

Output
E_tot ... -51.0 eV/cell
Spin magnetization ... 0.1 μB per formula unit

=====

Material: CdAgSb
Method: DFT, PBE
State: optimized geometry

Unit cell a=4.8385 b=4.8385 c=8.1412 alpha=90.00 beta=90.00 gamma=120.00
Fractional positions:
Cd (0.3333, 0.6667, 0.0000)
Cd (0.6667, 0.3333, 0.5000)
Ag (0.0000, 0.0000, 0.3875)
Ag (0.0000, 0.0000, 0.8875)
Sb (0.3333, 0.6667, 0.3436)
Sb (0.6667, 0.3333, 0.8436)

Output
E_tot ... -15.7 eV/cell

=====

Material: LuZnTe
Method: DFT, PBE
State: optimized geometry

Unit cell a=4.9894 b=4.9894 c=4.9894 alpha=60.00 beta=60.00 gamma=60.00
Fractional positions:
Lu (0.0000, 0.0000, 0.0000)
Zn (0.5000, 0.5000, 0.5000)
Te (0.2500, 0.2500, 0.2500)

Output
E_tot ... -9.4 eV/cell
Energy above the most stable polymorph in this dataset ... 158 meV/atom
Spin magnetization ... 0.0 μB per formula unit

=====

Material: Pr3TlC
Method: DFT, PBE
State: optimized geometry

Unit cell a=5.1718 b=5.1718 c=5.1718 alpha=90.00 beta=90.00 gamma=90.00
Fractional positions:
Pr (0.0000, 0.0000, 0.5000)
Pr (0.0000, 0.5000, 0.0000)
Pr (0.5000, 0.0000, 0.0000)
Tl (0.5000, 0.5000, 0.5000)
C (0.0000, 0.0000, 0.0000)

Output
E_tot ... -27.2 eV/cell
Spin magnetization ... 0.0 μB per formula unit

=====

Material: NbCoCuAs
Method: DFT, PBE
State: optimized geometry

Unit cell a=4.3041 b=4.3041 c=4.3041 alpha=60.00 beta=60.00 gamma=60.00
Fractional positions:
Nb (0.0000, 0.0000, 0.0000)
Co (0.7500, 0.7500, 0.7500)
Cu (0.2500, 0.2500, 0.2500)
As (0.5000, 0.5000, 0.5000)

Output
E_tot ... -25.0 eV/cell
Energy above the most stable polymorph in this dataset ... 99 meV/atom
Spin magnetization ... 0.0 μB per formula unit

=====

Material: HgGeMo
Method: DFT, PBE
State: optimized geometry

Unit cell a=4.4858 b=4.4858 c=4.4858 alpha=60.00 beta=60.00 gamma=60.00
Fractional positions:
Hg (0.0000, 0.0000, 0.0000)
Ge (0.5000, 0.5000, 0.5000)
Mo (0.7500, 0.7500, 0.7500)

Output
E_tot ... -13.6 eV/cell
Energy above the most stable polymorph in this dataset ... 103 meV/atom
Spin magnetization ... 1.6 μB per formula unit

=====

- Which value of E_tot does entry 3 give?
  -9.4 eV/cell